VASP calculation (PBE) on ZrTaCd after structural relaxation.

Cell lengths 4.6363, 4.6363, 4.6363 Å; angles 60.00, 60.00, 60.00 degrees
Closest atoms and distances in Å follow each position.
Fractional positions:
Zr 0.0000 0.0000 0.0000  4 Cd 2.84
Ta 0.5000 0.5000 0.5000  4 Cd 2.84
Cd 0.7500 0.7500 0.7500  4 Zr 2.84, 4 Ta 2.84

ΔE_f ... 0.8725 eV/atom
Crystal system ... cubic
Final energy ... -6.23 eV/atom
Distance to the lowest polymorph of the same formula ... 0.903 eV/atom
Spin magnetization ... 0.0 μB per cell

VASP calculation (PBE) on Zr2TaCd after structural relaxation.

Cell lengths 5.2383, 5.2383, 5.6943 Å; angles 97.91, 97.91, 33.45 degrees
Closest atoms and distances in Å follow each position.
Fractional positions:
Zr 0.2475 0.2475 0.2395  6 Zr 3.02-3.32, 3 Ta 3.05, 3 Cd 3.07-3.13
Zr 0.7525 0.7525 0.7605  6 Zr 3.02-3.32, 3 Ta 3.05, 3 Cd 3.07-3.13
Ta 0.5000 0.5000 0.0000  2 Ta 3.02, 6 Zr 3.05, 4 Cd 3.22
Cd 0.0000 0.0000 0.5000  2 Cd 3.02, 6 Zr 3.07-3.13, 4 Ta 3.22

ΔE_f ... 0.1750 eV/atom
Crystal system ... monoclinic
Final energy ... -7.29 eV/atom
Spin magnetization ... 0.0 μB per cell

VASP calculation (PBE) on Zr2TaCd after structural relaxation.

Cell lengths 3.0026, 3.0026, 9.6889 Å; angles 90.00, 90.00, 103.46 degrees
Closest atoms and distances in Å follow each position.
Fractional positions:
Zr 0.0000 0.0000 0.2339  4 Ta 2.93-3.27, 4 Zr 3.00, 2 Cd 3.18
Zr 0.0000 0.0000 0.7661  4 Ta 2.93-3.27, 4 Zr 3.00, 2 Cd 3.18
Ta 0.5000 0.5000 0.0000  8 Zr 2.93-3.27, 4 Ta 3.00
Cd 0.5000 0.5000 0.5000  4 Cd 3.00, 4 Zr 3.18

ΔE_f ... -0.0160 eV/atom
Crystal system ... orthorhombic
Final energy ... -7.48 eV/atom
Spin magnetization ... 0.0 μB per cell

VASP calculation (PBE) on ZrTaCd2 after structural relaxation.

Cell lengths 6.2702, 6.2702, 6.2702 Å; angles 101.45, 101.45, 127.08 degrees
Closest atoms and distances in Å follow each position.
Fractional positions:
Zr 0.0000 0.0000 0.0000  2 Ta 2.79, 4 Cd 2.96
Zr 0.7500 0.2500 0.5000  2 Ta 2.79, 4 Cd 2.96
Ta 0.2500 0.7500 0.5000  2 Zr 2.79, 4 Cd 2.83
Ta 0.5000 0.5000 0.0000  2 Zr 2.79, 4 Cd 2.83
Cd 0.1374 0.6250 0.0124  2 Cd 2.80, 2 Ta 2.83, 2 Zr 2.96
Cd 0.3750 0.3874 0.5124  2 Cd 2.80, 2 Ta 2.83, 2 Zr 2.96
Cd 0.6126 0.1250 0.9876  2 Cd 2.80, 2 Ta 2.83, 2 Zr 2.96
Cd 0.8750 0.8626 0.4876  2 Cd 2.80, 2 Ta 2.83, 2 Zr 2.96

ΔE_f ... 0.5944 eV/atom
Crystal system ... tetragonal
Final energy ... -4.96 eV/atom
Distance to the lowest polymorph of the same formula ... 0.550 eV/atom
Spin magnetization ... 0.0 μB per cell

VASP calculation (PBE) on Zr2TaCd after structural relaxation.

Cell lengths 5.4884, 5.4884, 5.4884 Å; angles 134.00, 134.00, 67.10 degrees
Closest atoms and distances in Å follow each position.
Fractional positions:
Zr 0.0000 0.0000 0.0000  4 Cd 3.03, 4 Ta 3.14, 4 Zr 3.14
Zr 0.7500 0.2500 0.5000  4 Ta 3.03, 4 Zr 3.14, 4 Cd 3.14
Ta 0.2500 0.7500 0.5000  8 Zr 3.03-3.14, 4 Cd 3.14
Cd 0.5000 0.5000 0.0000  8 Zr 3.03-3.14, 4 Ta 3.14

ΔE_f ... 0.0843 eV/atom
Crystal system ... tetragonal
Final energy ... -7.38 eV/atom
Spin magnetization ... 0.0 μB per cell

VASP calculation (PBE) on Zr2TaCd after structural relaxation.

Cell lengths 2.9691, 2.9691, 9.7796 Å; angles 90.00, 90.00, 102.35 degrees
Closest atoms and distances in Å follow each position.
Fractional positions:
Zr 0.0000 0.0000 0.0000  6 Zr 2.97-3.15, 2 Cd 3.15
Zr 0.5000 0.5000 0.2594  4 Ta 2.97-3.27, 6 Zr 2.97-3.15
Ta 0.0000 0.0000 0.4955  4 Zr 2.97-3.27, 4 Ta 2.97, 2 Cd 3.03
Cd 0.5000 0.5000 0.7396  4 Cd 2.97, 4 Ta 3.03-3.32, 2 Zr 3.15

ΔE_f ... 0.1153 eV/atom
Crystal system ... orthorhombic
Final energy ... -7.35 eV/atom
Spin magnetization ... 0.0 μB per cell

> Which value of ΔE_f does entry 4 give?

0.5944 eV/atom